Here is Ti8SiH6 after structural relaxation from Alexandria via LeMat-Bulk. Energies are from PBE.

Unit cell a=8.1179 b=8.1179 c=8.6010 alpha=90.00 beta=90.00 gamma=120.00
Space group R-3 (No. 148, hexagonal axes)
Symmetry-distinct sites (fractional):
Ti  0.0000  0.0000  0.1830 x6
Ti  0.0061  0.3226  0.6041 x18
Si  0.0000  0.0000  0.5000 x3
H  0.0686  0.2417  0.1038 x18

Properties
Raw total energy in eV per atom: -6.239